No. 1
## Sr3ZrN (PBE)

Data for Sr3ZrN after structural relaxation.

The calculation puts the relative energy among the computed polymorphs at 1599 meV per atom.

The structure belongs to space group Pm-3m (No. 221); the cell edges are 6.021, 6.021 and 6.021 Å and the angles 90.00°, 90.00° and 90.00°. The inequivalent atoms are Sr at (0.000, 0.000, 0.500), Zr at (0.000, 0.000, 0.000) and N at (0.500, 0.500, 0.500).


No. 2
## Sr3ZrN3 (PBE)

Data for Sr3ZrN3 after structural relaxation.

The calculation puts the relative energy among the computed polymorphs at 35 meV per atom.

The structure belongs to space group Cmce (No. 64); the cell edges are 16.861, 6.223 and 10.446 Å and the angles 90.00°, 90.00° and 90.00°. The inequivalent atoms are Sr at (0.000, 0.108, 0.163), Sr at (0.185, 0.118, 0.858), Zr at (0.093, 0.000, 0.500), N at (0.000, 0.193, 0.403) and N at (0.160, 0.208, 0.617).


No. 3
## Sr3ZrN (PBE)

Data for Sr3ZrN after structural relaxation.

The calculation puts the relative energy among the computed polymorphs at 0 meV per atom.

The structure belongs to space group Pm-3m (No. 221); the cell edges are 5.359, 5.359 and 5.359 Å and the angles 90.00°, 90.00° and 90.00°. The inequivalent atoms are Sr at (0.000, 0.000, 0.500), Zr at (0.500, 0.500, 0.500) and N at (0.000, 0.000, 0.000).


No. 4
## Sr5Zr2N6 (PBE)

Data for Sr5Zr2N6 after structural relaxation.

The calculation puts the relative energy among the computed polymorphs at 0 meV per atom.

The structure belongs to space group C2/c (No. 15); the cell edges are 11.231, 7.172 and 13.869 Å and the angles 90.00°, 104.40° and 90.00°. The inequivalent atoms are Sr at (0.000, 0.152, 0.250), Sr at (0.023, 0.246, 0.011), Sr at (0.156, 0.346, 0.723), Zr at (0.226, 0.422, 0.435), N at (0.048, 0.481, 0.880), N at (0.143, 0.003, 0.141) and N at (0.207, 0.135, 0.410).


No. 5
## SrZrN (PBE)

Data for SrZrN after structural relaxation.

The calculation puts the relative energy among the computed polymorphs at 182 meV per atom.

The structure belongs to space group P4/mmm (No. 123); the cell edges are 3.228, 3.228 and 5.780 Å and the angles 90.00°, 90.00° and 90.00°. The inequivalent atoms are Sr at (0.000, 0.000, 0.000), Zr at (0.500, 0.500, 0.500) and N at (0.000, 0.000, 0.500).


No. 6
## SrZrN (PBE)

Data for SrZrN after structural relaxation.

The calculation puts the relative energy among the computed polymorphs at 613 meV per atom.

The structure belongs to space group P-6m2 (No. 187); the cell edges are 3.4208, 3.4208 and 12.5465 Å and the angles 90.00°, 90.00° and 120.00°. The inequivalent atoms are Sr at (0.0000, 0.0000, 0.1193), Zr at (0.6667, 0.3333, 0.3902), N at (0.0000, 0.0000, 0.5000) and N at (0.6667, 0.3333, 0.0000).


No. 7
## SrZr3N4 (PBE)

Data for SrZr3N4 after structural relaxation.

The energy is -145.2 eV per cell.

The structure belongs to space group P6_3/mmc (No. 194); the cell edges are 3.3171, 3.3171 and 22.5782 Å and the angles 90.00°, 90.00° and 120.00°. The inequivalent atoms are Sr at (0.3333, 0.6667, 0.2500), Zr at (0.0000, 0.0000, 0.0000), Zr at (0.3333, 0.6667, 0.6185), N at (0.0000, 0.0000, 0.1706) and N at (0.3333, 0.6667, 0.0587).


No. 8
## SrZrN2 (PBE)

Data for SrZrN2 after structural relaxation.

The energy is -94.8 eV per cell.

The structure belongs to space group R3m (No. 160, hexagonal axes); the cell edges are 3.3697, 3.3697 and 18.2829 Å and the angles 90.00°, 90.00° and 120.00°. The inequivalent atoms are Sr at (0.0000, 0.0000, 0.0000), Zr at (0.0000, 0.0000, 0.1721), N at (0.0000, 0.0000, 0.5751) and N at (0.0000, 0.0000, 0.7753).